1.
Below is a relaxed CdSiI3 crystal, with properties calculated at the GGA-PBE level.

Output
ρ (g/cm3): 4.8
Distance to the lowest polymorph of the same formula (meV/atom): 0

POSCAR file:
```
CdSiI3
1.0
-1.320 0.640 -5.439
3.596 -4.118 -1.357
-4.130 -3.790 0.557
I Si Cd
3 1 1
direct
0.000 0.500 0.000
0.000 0.000 0.500
0.500 0.000 0.000
0.000 0.000 0.000
0.500 0.500 0.500
```

---

2.
Below is a relaxed CdSiI3 crystal, with properties calculated at the GGA-PBE level.

Output
ρ (g/cm3): 4.4
Distance to the lowest polymorph of the same formula (meV/atom): 345

POSCAR file:
```
CdSiI3
1.0
-3.526 1.823 4.275
3.694 -2.157 3.966
2.820 5.104 0.149
I Si Cd
3 1 1
direct
0.000 0.500 0.000
0.000 0.000 0.500
0.500 0.000 0.000
0.500 0.500 0.500
0.000 0.000 0.000
```

---

3.
Below is a relaxed CdSiI2 crystal, with properties calculated at the GGA-PBE level.

Output
ρ (g/cm3): 2.6
Distance to the lowest polymorph of the same formula (meV/atom): 0

POSCAR file:
```
CdSiI2
1.0
8.905 0.000 0.000
0.000 8.905 0.000
4.452 4.452 6.330
I Si Cd
4 2 2
direct
0.368 0.125 0.250
0.382 0.625 0.250
0.375 0.632 0.750
0.875 0.618 0.750
0.500 0.500 0.000
0.250 0.750 0.500
0.000 0.000 0.000
0.750 0.250 0.500
```